Sr2CrOs: relaxed, PBE-GGA.

abc: 4.398 4.815 4.815
angles: 90.00 90.00 90.00
Sites, in units of the cell vectors:
Cr: 0.500 0.500 0.000
Os: 0.500 0.000 0.500
Sr: 0.000 0.000 0.000
Sr: 0.000 0.500 0.500

Summary:
The raw total energy comes out at -5.0596 eV/atom. The mass density is 6.80 g cm⁻³. As for the formation energy: 994.6 meV/atom. The value obtained for the energy above the lowest structure with this stoichiometry is 0.7146 eV/atom. Its space group is P4/mmm.